Co2CuAu | GGA-PBEsol | relaxed

Values from the calculation:
Energy of formation from the pure elements ... 209 meV/atom
Space group ... P4/mmm (123)

Structure (extended XYZ):
```
4
Lattice="3.599 0.000 0.000 0.000 3.599 0.000 0.000 0.000 3.823" Properties=species:S:1:pos:R:3 pbc="T T T"
Co 0.000 1.800 0.000
Co 1.800 0.000 0.000
Cu 0.000 0.000 1.912
Au 1.800 1.800 1.912
```



Cs3Sb5S9 | GGA-PBEsol | relaxed

Values from the calculation:
Raw formation energy ... -0.6240 eV/atom
Space group ... C2/m (12)

Structure (extended XYZ):
```
34
Lattice="4.568 -12.432 0.000 4.568 12.432 0.000 -2.594 0.000 8.830" Properties=species:S:1:pos:R:3 pbc="T T T"
Cs 0.515 5.390 6.522
Cs 4.568 10.456 0.000
Cs 0.515 -5.390 6.522
Cs 6.028 5.390 2.308
Cs 4.568 -10.456 0.000
Cs 6.028 -5.390 2.308
Sb 3.271 10.537 4.415
Sb 2.242 2.979 3.001
Sb 1.866 0.000 5.484
Sb 4.568 1.897 0.000
Sb 2.242 -2.979 3.001
Sb 4.301 2.979 5.829
Sb 4.568 -1.897 0.000
Sb 4.677 0.000 3.346
Sb 4.301 -2.979 5.829
Sb 3.271 -10.537 4.415
S 1.981 8.542 5.811
S 0.247 0.000 3.316
S 2.876 3.933 0.865
S 0.572 1.895 6.449
S 4.561 8.542 3.019
S 3.271 4.769 4.415
S 0.572 -1.895 6.449
S 3.069 0.000 1.129
S 3.666 3.933 7.965
S 2.876 -3.933 0.865
S 3.474 0.000 7.701
S 5.971 1.895 2.381
S 3.271 -4.769 4.415
S 1.981 -8.542 5.811
S 5.971 -1.895 2.381
S 3.666 -3.933 7.965
S 6.296 0.000 5.514
S 4.561 -8.542 3.019
```



Ba3V4P6O24 | GGA-PBEsol | relaxed

Values from the calculation:
Raw formation energy ... -2.4835 eV/atom
Space group ... P2_1 (4)

Structure (extended XYZ):
```
74
Lattice="9.872 0.000 0.000 0.000 9.894 0.000 -0.016 0.000 9.905" Properties=species:S:1:pos:R:3 pbc="T T T"
Ba 0.691 0.000 2.996
Ba 2.883 7.567 5.410
Ba 4.212 1.370 8.248
Ba 5.644 6.317 1.657
Ba 6.973 2.620 4.494
Ba 9.165 4.947 6.909
V 0.799 1.517 6.573
V 1.423 6.996 8.890
V 3.522 4.113 3.891
V 4.046 9.676 1.604
V 5.809 4.729 8.301
V 6.333 9.059 6.014
V 8.433 2.049 1.014
V 9.056 6.464 3.332
P 0.398 3.365 3.778
P 1.215 0.211 9.635
P 2.253 6.836 2.047
P 2.723 4.332 7.014
P 3.643 1.023 4.722
P 4.499 7.814 8.663
P 5.356 2.867 1.242
P 6.213 5.970 5.183
P 7.133 9.279 2.891
P 7.603 1.889 7.858
P 8.641 5.158 0.269
P 9.458 8.312 6.127
O -0.007 2.705 5.144
O 9.863 7.652 4.761
O 0.079 4.857 3.959
O 0.144 1.020 0.448
O 0.488 7.573 7.143
O 0.769 7.056 2.373
O 0.837 8.615 9.726
O 1.522 0.639 8.189
O 1.876 3.140 3.447
O 1.957 3.005 7.123
O 1.961 5.392 7.819
O 2.244 0.813 5.356
O 2.480 6.438 0.588
O 2.535 0.456 0.540
O 2.744 4.864 5.550
O 2.933 8.207 2.393
O 2.973 5.859 3.011
O 3.046 7.876 8.113
O 3.474 0.671 3.242
O 4.154 4.048 7.486
O 4.218 2.450 4.886
O 4.486 3.604 2.267
O 4.560 0.035 5.485
O 4.638 8.566 0.093
O 4.932 1.419 0.975
O 4.924 6.366 8.930
O 5.218 3.619 9.812
O 5.296 4.982 4.420
O 5.370 8.550 7.638
O 5.637 7.397 5.019
O 5.701 8.995 2.419
O 6.381 5.618 6.663
O 6.809 2.929 1.792
O 6.883 0.913 6.894
O 6.922 3.260 7.511
O 7.112 9.811 4.355
O 7.320 5.403 9.364
O 7.375 1.492 9.317
O 7.612 5.760 4.549
O 7.895 0.445 2.086
O 7.899 7.952 2.781
O 7.980 8.087 6.458
O 8.334 5.586 1.715
O 9.019 3.668 0.179
O 9.087 2.109 7.532
O 9.367 2.626 2.762
O 9.712 5.967 9.457
O 9.776 9.803 5.945
```



KCdOs2 | GGA-PBEsol | relaxed

Values from the calculation:
Energy of formation from the pure elements ... 905 meV/atom
Space group ... Cmm2 (35)

Structure (extended XYZ):
```
4
Lattice="1.442 -2.362 0.000 1.442 2.362 0.000 0.000 0.000 10.593" Properties=species:S:1:pos:R:3 pbc="T T T"
K 0.000 0.000 0.000
Cd 1.442 0.000 7.469
Os 0.000 0.000 4.931
Os 1.442 0.000 2.822
```



FePtRh | GGA-PBEsol | relaxed

Values from the calculation:
Energy of formation from the pure elements ... -81 meV/atom
Space group ... I4mm (107)

Structure (extended XYZ):
```
3
Lattice="-1.344 1.344 5.505 1.344 -1.344 5.505 1.344 1.344 -5.505" Properties=species:S:1:pos:R:3 pbc="T T T"
Fe 0.000 0.000 0.000
Pt 0.000 0.000 7.306
Rh 0.000 0.000 3.810
```



LiAlGe2O6 | GGA-PBEsol | relaxed

Values from the calculation:
Raw formation energy ... -2.1353 eV/atom
Space group ... P2_1/c (14)

Structure (extended XYZ):
```
40
Lattice="5.375 0.000 0.000 0.000 8.347 0.000 -1.738 0.000 9.364" Properties=species:S:1:pos:R:3 pbc="T T T"
Li 1.065 1.779 0.079
Li 0.196 2.395 4.761
Li 3.440 5.952 4.602
Li 2.571 6.569 9.284
Al 1.330 4.880 0.056
Al 0.461 7.641 4.737
Al 3.175 0.707 4.626
Al 2.306 3.467 9.308
Ge -0.085 4.883 2.708
Ge -0.954 7.638 7.389
Ge 1.119 5.129 6.775
Ge 1.988 7.392 2.093
Ge 1.649 0.955 7.271
Ge 2.518 3.218 2.589
Ge 4.591 0.710 1.974
Ge 3.721 3.464 6.656
O -0.440 0.609 3.718
O -1.309 3.564 8.400
O -1.057 6.221 8.374
O -0.187 6.300 3.692
O 0.805 0.076 1.325
O -0.064 4.098 6.007
O 0.075 0.623 8.007
O 0.944 3.550 3.325
O 1.697 5.706 1.706
O 0.827 6.815 6.388
O 1.459 0.839 5.506
O 2.328 3.334 0.825
O 1.308 5.013 8.539
O 2.177 7.508 3.857
O 2.809 1.532 2.976
O 1.940 2.642 7.658
O 2.692 4.797 6.038
O 3.561 7.724 1.356
O 3.701 4.249 3.356
O 2.831 8.272 8.038
O 3.824 2.048 5.671
O 4.693 2.126 0.990
O 4.946 4.783 0.964
O 4.077 7.738 5.645
```



Please write out number 5 again, unchanged.
FePtRh | GGA-PBEsol | relaxed

Values from the calculation:
Energy of formation from the pure elements ... -81 meV/atom
Space group ... I4mm (107)

Structure (extended XYZ):
```
3
Lattice="-1.344 1.344 5.505 1.344 -1.344 5.505 1.344 1.344 -5.505" Properties=species:S:1:pos:R:3 pbc="T T T"
Fe 0.000 0.000 0.000
Pt 0.000 0.000 7.306
Rh 0.000 0.000 3.810
```